DFT (PBE-GGA) results for a relaxed structure of CrMoAs2.

abc: 4.7304 4.7304 4.4058
angles: 102.80 102.80 39.44
Last column: nearest neighbours and their distance in Å.
Positions (direct):
Cr1 0.0000 0.0000 0.0000  7 As 2.55-2.73
Mo1 0.2169 0.2169 0.6006  7 As 2.55-2.74
As1 0.4868 0.4868 0.4910  3 Mo 2.55-2.56, 4 Cr 2.71-2.73
As2 0.7297 0.7297 0.1031  3 Cr 2.55, 4 Mo 2.71-2.74

Properties
* energy above the lowest structure with this stoichiometry: 3.74 kcal/mol of atoms
* energy of formation from the pure elements: -0.035 eV/atom


DFT (PBE-GGA) results for a relaxed structure of TmU2TcC4.

abc: 6.0812 6.0812 11.3032
angles: 90.00 90.00 146.49
Last column: nearest neighbours and their distance in Å.
Positions (direct):
Tm1 0.1186 0.8814 0.7500  6 C 2.56-2.65
Tm2 0.8814 0.1186 0.2500  6 C 2.56-2.65
U1 0.3702 0.6298 0.5485  6 C 2.26-2.50
U2 0.3702 0.6298 0.9515  6 C 2.26-2.50
U3 0.6298 0.3702 0.0485  6 C 2.26-2.50
U4 0.6298 0.3702 0.4515  6 C 2.26-2.50
Tc1 0.1432 0.8568 0.2500  4 C 2.05-2.12
Tc2 0.8568 0.1432 0.7500  4 C 2.05-2.12
C1 0.0000 0.0000 0.0000  4 U 2.38
C2 0.0000 0.0000 0.5000  4 U 2.38
C3 0.2661 0.7339 0.1203  1 Tc 2.05, 1 U 2.26
C4 0.2661 0.7339 0.3797  1 Tc 2.05, 1 U 2.26
C5 0.4588 0.5412 0.7500  2 Tc 2.12
C6 0.5412 0.4588 0.2500  2 Tc 2.12
C7 0.7339 0.2661 0.6203  1 Tc 2.05, 1 U 2.26
C8 0.7339 0.2661 0.8797  1 Tc 2.05, 1 U 2.26

Properties
* energy of formation from the pure elements: -0.043 eV/atom


Number 1: total DFT energy (no corrections) -29.89 eV per cell. Number 2: total DFT energy (no corrections) -149.31 eV per cell.